Version one
Below is FeBTe2I after structural relaxation, with properties calculated at the PBE level.

The value obtained for the density of states at the Fermi level is 8.7 states/eV/cell. The value obtained for the theoretical density is 5.511 Mg/m³.

The space group is P4/mmm (No. 123) and the conventional cell measures 4.888, 4.888 and 5.659 Å, with angles of 90.00, 90.00 and 90.00 degrees. The asymmetric unit holds Fe at (0.000, 0.000, 0.000), B at (0.500, 0.500, 0.500), Te at (0.000, 0.500, 0.000) and I at (0.000, 0.000, 0.500).

Version two
Below is FeBTe2I after structural relaxation, with properties calculated at the PBE level.

The value obtained for the density of states at the Fermi level is 5.5 states/eV/cell. The value obtained for the theoretical density is 6.300 Mg/m³.

The space group is P4/mmm (No. 123) and the conventional cell measures 4.908, 4.908 and 4.911 Å, with angles of 90.00, 90.00 and 90.00 degrees. The asymmetric unit holds Fe at (0.000, 0.000, 0.000), B at (0.500, 0.500, 0.500), Te at (0.000, 0.500, 0.500) and I at (0.500, 0.500, 0.000).

Which structure wins on stability? version two wins.

Version one
Below is In3FeB after structural relaxation, with properties calculated at the PBE level.

The value obtained for the density of states at the Fermi level is 7.6 states/eV/cell. The value obtained for the theoretical density is 6.731 Mg/m³.

The space group is Pm-3m (No. 221) and the conventional cell measures 4.663, 4.663 and 4.663 Å, with angles of 90.00, 90.00 and 90.00 degrees. The asymmetric unit holds In at (0.000, 0.000, 0.500), Fe at (0.500, 0.500, 0.500) and B at (0.000, 0.000, 0.000).

Version two
Below is In3FeB after structural relaxation, with properties calculated at the PBE level.

The value obtained for the density of states at the Fermi level is 4.0 states/eV/cell. The value obtained for the theoretical density is 5.642 Mg/m³.

The space group is Pm-3m (No. 221) and the conventional cell measures 4.946, 4.946 and 4.946 Å, with angles of 90.00, 90.00 and 90.00 degrees. The asymmetric unit holds In at (0.000, 0.000, 0.500), Fe at (0.000, 0.000, 0.000) and B at (0.500, 0.500, 0.500).

Which structure wins on stability? version two wins.